1.
Here is a relaxed structure of TbIrPb from the Alexandria database. Energies are from PBE.

abc: 4.6351 8.3277 7.0653
angles: 90.00 90.00 90.00
Fractional positions:
Pb 0.2500 0.0718 0.8395
Pb 0.2500 0.4282 0.3395
Pb 0.7500 0.9282 0.1605
Pb 0.7500 0.5718 0.6605
Ir 0.2500 0.1041 0.2511
Ir 0.7500 0.6041 0.2489
Ir 0.2500 0.3959 0.7511
Ir 0.7500 0.8959 0.7489
Tb 0.7500 0.3184 0.0215
Tb 0.7500 0.1816 0.5215
Tb 0.2500 0.8184 0.4785
Tb 0.2500 0.6816 0.9785

Values from the calculation:
Space group   No. 62



2.
Here is a relaxed structure of Tb8Ir3Pb2 from the Alexandria database. Energies are from PBE.

abc: 4.9064 9.8655 9.0370
angles: 123.05 90.00 90.00
Fractional positions:
Ir 0.0000 0.2505 0.9998
Ir 0.5000 0.0000 0.0000
Ir 0.0000 0.7495 0.0002
Pb 0.5000 0.2565 0.5131
Pb 0.5000 0.7435 0.4869
Tb 0.5000 0.6450 0.7801
Tb 0.0000 0.3926 0.7849
Tb 0.0000 0.1120 0.2236
Tb 0.5000 0.8655 0.2205
Tb 0.5000 0.3550 0.2199
Tb 0.0000 0.6074 0.2151
Tb 0.0000 0.8880 0.7764
Tb 0.5000 0.1345 0.7795

Values from the calculation:
Space group   No. 65



Taking the records one at a time from the top gives total energy values of -6.25, -6.03 eV/atom.
Taking the records one at a time from the top gives Fermi-level density of states values of 0.457, 0.609 states/eV/atom.